The following is a PBE calculation of crystalline Ce3SiGe6Ru2 at its relaxed geometry, from Alexandria.

The structure in CIF format:
```
data_Ce3SiGe6Ru2
_chemical_formula_sum 'Ce3 Si1 Ge6 Ru2'
_space_group_name_H-M_alt 'P 1'
_space_group_IT_number 1
_space_group_name_Hall 'P 1'
_cell_length_a 6.236
_cell_length_b 6.236
_cell_length_c 7.348
_cell_angle_alpha 90.00
_cell_angle_beta 90.00
_cell_angle_gamma 120.00
loop_
_atom_site_label
_atom_site_fract_x
_atom_site_fract_y
_atom_site_fract_z
Ce1 0.333 0.667 0.697
Ce2 0.667 0.333 0.303
Ce3 0.000 0.000 0.000
Si1 0.000 0.000 0.500
Ge1 0.616 0.808 0.297
Ge2 0.192 0.384 0.297
Ge3 0.192 0.808 0.297
Ge4 0.808 0.616 0.703
Ge5 0.384 0.192 0.703
Ge6 0.808 0.192 0.703
Ru1 0.667 0.333 0.992
Ru2 0.333 0.667 0.008
```

Output
The calculation puts the raw formation energy at -17.0 kJ/mol of atoms. The value obtained for the mass density is 7.291 g/cm3. As for the space group: No. 164.